MnTl3Re2O9 | the Alexandria database | GGA+U | relaxed; SG = P-3m1, No. 164; raw total energy = -6.897 eV/atom; spin magnetization = 4.36 μB/f.u.; density of states at the Fermi level = 4.19 states/eV/f.u.
1.0
5.772 0.000 0.000
-2.886 4.998 0.000
0.000 0.000 7.148
Mn Tl Re O
1 3 2 9
Direct
0.000 0.000 0.000 Mn
0.000 0.000 0.500 Tl
0.333 0.667 0.160 Tl
0.667 0.333 0.840 Tl
0.333 0.667 0.666 Re
0.667 0.333 0.334 Re
0.000 0.500 0.500 O
0.178 0.357 0.809 O
0.178 0.822 0.809 O
0.357 0.178 0.191 O
0.500 0.000 0.500 O
0.500 0.500 0.500 O
0.643 0.822 0.809 O
0.822 0.178 0.191 O
0.822 0.643 0.191 O